First-principles (PBE+U) data for a relaxed structure of MnWF3, as listed in Alexandria.

Geometry as POSCAR:
```
MnWF3
1.0
4.3939 0.0000 0.0000
0.0000 4.3939 0.0000
0.0000 0.0000 4.3939
Mn W F
1 1 3
direct
0.0000 0.0000 0.0000
0.5000 0.5000 0.5000
0.0000 0.5000 0.5000
0.5000 0.0000 0.5000
0.5000 0.5000 0.0000
```

Computed properties:
Energy above the most stable polymorph in this dataset in meV per atom: 0
Magnetic moment in μB per formula unit: 8.30